1.
! Ca2CdRh (PBE-GGA, relaxed); values from VASP
! energy of formation: -0.117 eV per atom
! calculated total energy: -25.48 eV/cell
! density of states at the Fermi level: 4.23 states/eV/cell
&SYSTEM
  ibrav = 0, nat = 8, ntyp = 3
/
ATOMIC_SPECIES
Ca 40.08 Ca.upf
Cd 112.41 Cd.upf
Rh 102.91 Rh.upf
CELL_PARAMETERS angstrom
-4.105 4.105 3.046
4.105 -4.105 3.046
4.105 4.105 -3.046
ATOMIC_POSITIONS angstrom
Ca 6.158 1.579 -0.761
Ca 1.579 2.053 0.761
Ca -2.053 2.526 2.284
Ca 2.526 2.053 3.807
Cd 4.105 0.000 1.523
Cd 0.000 0.000 3.046
Rh 0.000 0.000 0.000
Rh 0.000 4.105 1.523

2.
! Ca2CdRh (PBE-GGA, relaxed); values from VASP
! energy of formation: -0.276 eV per atom
! calculated total energy: -13.37 eV/cell
! density of states at the Fermi level: 2.56 states/eV/cell
&SYSTEM
  ibrav = 0, nat = 4, ntyp = 3
/
ATOMIC_SPECIES
Ca 40.08 Ca.upf
Cd 112.41 Cd.upf
Rh 102.91 Rh.upf
CELL_PARAMETERS angstrom
6.128 -1.758 0.000
6.128 1.758 0.000
-2.055 0.000 4.639
ATOMIC_POSITIONS angstrom
Ca 0.000 0.000 0.000
Ca 1.008 0.000 3.227
Cd 9.155 0.000 1.355
Rh 4.959 0.000 2.266

3.
! CaCd2SbRh (PBE-GGA, relaxed); values from VASP
! calculated total energy: -14.13 eV/cell
! density of states at the Fermi level: 4.09 states/eV/cell
! formation energy (no corrections): 1.2 eV per formula unit
&SYSTEM
  ibrav = 0, nat = 5, ntyp = 4
/
ATOMIC_SPECIES
Ca 40.08 Ca.upf
Cd 112.41 Cd.upf
Sb 121.76 Sb.upf
Rh 102.91 Rh.upf
CELL_PARAMETERS angstrom
5.483 0.000 0.000
0.000 5.483 0.000
0.000 0.000 4.945
ATOMIC_POSITIONS angstrom
Ca 0.000 0.000 0.000
Cd 0.000 2.741 2.472
Cd 2.741 0.000 2.472
Sb 2.741 2.741 2.472
Rh 2.741 2.741 0.000